# Ni2TeRh2

Crystalline Ni2TeRh2 at its relaxed geometry (PBE-GGA, Alexandria).

For the electronic total energy, the calculation gives -57.118 eV per cell. The formation energy without anion corrections comes out at 0.17 eV per atom. The energy above the lowest structure with this stoichiometry comes out at 0 meV per atom. For the density of states at the Fermi level, the calculation gives 1.73 states/eV per atom.

POSCAR file:
```
Ni2TeRh2
1.0
6.382 0.000 0.000
0.000 6.382 0.000
0.000 0.000 3.639
Ni Te Rh
4 2 4
direct
0.367 0.867 0.000 Ni
0.867 0.633 0.000 Ni
0.633 0.133 0.000 Ni
0.133 0.367 0.000 Ni
0.000 0.000 0.000 Te
0.500 0.500 0.000 Te
0.155 0.655 0.500 Rh
0.655 0.845 0.500 Rh
0.845 0.345 0.500 Rh
0.345 0.155 0.500 Rh
```

---

# BaLiN2O

Crystalline BaLiN2O at its relaxed geometry (PBE-GGA, Alexandria).

For the electronic total energy, the calculation gives -23.711 eV per cell. The formation energy without anion corrections comes out at 0.35 eV per atom. For the density of states at the Fermi level, the calculation gives 0.38 states/eV per atom.

POSCAR file:
```
BaLiN2O
1.0
4.216 0.000 0.000
0.000 4.216 0.000
0.000 0.000 4.145
Li Ba O N
1 1 1 2
direct
0.000 0.000 0.000 Li
0.500 0.500 0.500 Ba
0.000 0.000 0.500 O
0.000 0.500 0.000 N
0.500 0.000 0.000 N
```

---

# TaV2HIr

Crystalline TaV2HIr at its relaxed geometry (PBE-GGA, Alexandria).

For the electronic total energy, the calculation gives -43.465 eV per cell. The energy above the lowest structure with this stoichiometry comes out at 0 meV per atom. For the density of states at the Fermi level, the calculation gives 0.87 states/eV per atom.

POSCAR file:
```
TaV2HIr
1.0
-3.760 -0.138 0.636
0.481 -3.104 2.166
0.490 2.471 3.432
H V Ir Ta
1 2 1 1
direct
0.000 0.000 0.000 H
0.000 0.500 0.000 V
0.500 0.000 0.000 V
0.500 0.500 0.500 Ir
0.000 0.000 0.500 Ta
```

---

# ScTlMo2

Crystalline ScTlMo2 at its relaxed geometry (PBE-GGA, Alexandria).

For the electronic total energy, the calculation gives -28.940 eV per cell. The energy above the lowest structure with this stoichiometry comes out at 291 meV per atom. Its energy of formation is 355 meV/atom. For the density of states at the Fermi level, the calculation gives 0.85 states/eV per atom.

POSCAR file:
```
ScTlMo2
1.0
5.505 0.005 -0.003
2.558 4.874 0.003
-3.698 -2.991 2.772
Mo Sc Tl
2 1 1
direct
0.998 0.998 0.000 Mo
0.502 0.502 0.000 Mo
0.750 0.250 0.500 Sc
0.250 0.750 0.500 Tl
```

---

# Li4Zn3Pd2

Crystalline Li4Zn3Pd2 at its relaxed geometry (PBE-GGA, Alexandria).

For the electronic total energy, the calculation gives -25.053 eV per cell. The energy above the lowest structure with this stoichiometry comes out at 42 meV per atom. Its energy of formation is -354 meV/atom. For the density of states at the Fermi level, the calculation gives 0.38 states/eV per atom.

POSCAR file:
```
Li4Zn3Pd2
1.0
-0.137 0.773 -3.963
-3.899 -4.398 -0.722
-2.793 4.515 3.036
Li Zn Pd
4 3 2
direct
0.555 0.336 0.109 Li
0.776 0.686 0.552 Li
0.445 0.664 0.891 Li
0.224 0.314 0.448 Li
0.883 0.315 0.767 Zn
0.117 0.685 0.233 Zn
0.000 0.000 0.000 Zn
0.344 0.001 0.687 Pd
0.656 0.999 0.313 Pd
```

---

# Tb4Y3Th

Crystalline Tb4Y3Th at its relaxed geometry (PBE-GGA, Alexandria).

For the electronic total energy, the calculation gives -41.902 eV per cell. The energy above the lowest structure with this stoichiometry comes out at 255 meV per atom. Its energy of formation is 429 meV/atom. For the density of states at the Fermi level, the calculation gives 2.31 states/eV per atom.

POSCAR file:
```
Tb4Y3Th
1.0
3.387 0.000 0.000
0.000 8.790 1.297
0.000 -2.329 8.574
Tb Y Th
4 3 1
direct
0.000 0.759 0.759 Tb
0.500 0.250 0.750 Tb
0.000 0.241 0.241 Tb
0.500 0.750 0.250 Tb
0.000 0.000 0.500 Y
0.500 0.500 0.500 Y
0.000 0.500 0.000 Y
0.500 0.000 0.000 Th
```

---

# HoZn11Rh

Crystalline HoZn11Rh at its relaxed geometry (PBE-GGA, Alexandria).

For the electronic total energy, the calculation gives -29.099 eV per cell. Its energy of formation is -243 meV/atom. For the density of states at the Fermi level, the calculation gives 0.39 states/eV per atom.

POSCAR file:
```
HoZn11Rh
1.0
4.786 0.085 1.994
2.438 6.257 1.016
-0.047 0.042 6.855
Ho Zn Rh
1 11 1
direct
0.000 0.000 0.000 Ho
0.285 0.215 0.216 Zn
0.715 0.785 0.784 Zn
0.499 0.785 0.216 Zn
0.501 0.215 0.784 Zn
0.369 0.646 0.652 Zn
0.631 0.354 0.348 Zn
0.979 0.354 0.652 Zn
0.021 0.646 0.348 Zn
0.000 0.500 0.000 Zn
0.500 0.000 0.500 Zn
0.000 0.000 0.500 Zn
0.500 0.500 0.000 Rh
```

---

# LiBe2V2

Crystalline LiBe2V2 at its relaxed geometry (PBE-GGA, Alexandria).

For the electronic total energy, the calculation gives -52.690 eV per cell. The energy above the lowest structure with this stoichiometry comes out at 0 meV per atom. Its energy of formation is 252 meV/atom. For the density of states at the Fermi level, the calculation gives 0.87 states/eV per atom.

POSCAR file:
```
LiBe2V2
1.0
7.390 0.000 0.000
0.000 7.390 0.000
0.000 0.000 2.284
Be V Li
4 4 2
direct
0.177 0.677 0.500 Be
0.677 0.823 0.500 Be
0.823 0.323 0.500 Be
0.323 0.177 0.500 Be
0.382 0.882 0.000 V
0.882 0.618 0.000 V
0.618 0.118 0.000 V
0.118 0.382 0.000 V
0.000 0.000 0.000 Li
0.500 0.500 0.000 Li
```

---

# NdP3Ir5

Crystalline NdP3Ir5 at its relaxed geometry (PBE-GGA, Alexandria).

For the electronic total energy, the calculation gives -141.507 eV per cell. Its energy of formation is -606 meV/atom. For the density of states at the Fermi level, the calculation gives 0.49 states/eV per atom.

POSCAR file:
```
NdP3Ir5
1.0
3.948 0.000 0.000
-1.974 6.070 0.000
0.000 0.000 12.309
Nd P Ir
2 6 10
direct
0.851 0.703 0.750 Nd
0.149 0.297 0.250 Nd
0.394 0.788 0.949 P
0.878 0.756 0.250 P
0.394 0.788 0.551 P
0.606 0.212 0.449 P
0.122 0.244 0.750 P
0.606 0.212 0.051 P
0.785 0.571 0.420 Ir
0.215 0.429 0.920 Ir
0.000 0.000 0.500 Ir
0.000 0.000 0.000 Ir
0.434 0.868 0.139 Ir
0.566 0.132 0.861 Ir
0.566 0.132 0.639 Ir
0.785 0.571 0.080 Ir
0.215 0.429 0.580 Ir
0.434 0.868 0.361 Ir
```

---

# AcCuBi2

Crystalline AcCuBi2 at its relaxed geometry (PBE-GGA, Alexandria).

For the electronic total energy, the calculation gives -16.215 eV per cell. The energy above the lowest structure with this stoichiometry comes out at 206 meV per atom. Its energy of formation is -62 meV/atom. For the density of states at the Fermi level, the calculation gives 0.51 states/eV per atom.

POSCAR file:
```
AcCuBi2
1.0
3.764 0.000 0.000
0.000 3.764 0.000
0.000 0.000 8.143
Ac Bi Cu
1 2 1
direct
0.500 0.500 0.500 Ac
0.000 0.000 0.802 Bi
0.000 0.000 0.198 Bi
0.500 0.500 0.000 Cu
```

---

# DyCd3

Crystalline DyCd3 at its relaxed geometry (PBE-GGA, Alexandria).

For the electronic total energy, the calculation gives -8.321 eV per cell. Its energy of formation is -243 meV/atom. For the density of states at the Fermi level, the calculation gives 0.63 states/eV per atom.

POSCAR file:
```
DyCd3
1.0
4.499 0.000 0.000
0.000 4.502 0.000
0.000 0.000 4.769
Cd Dy
3 1
direct
0.000 0.000 0.917 Cd
0.500 0.000 0.417 Cd
0.500 0.500 0.917 Cd
0.000 0.500 0.417 Dy
```

---

# LiTcAu2

Crystalline LiTcAu2 at its relaxed geometry (PBE-GGA, Alexandria).

For the electronic total energy, the calculation gives -19.029 eV per cell. The energy above the lowest structure with this stoichiometry comes out at 0 meV per atom. Its energy of formation is -49 meV/atom. For the density of states at the Fermi level, the calculation gives 0.52 states/eV per atom.

POSCAR file:
```
LiTcAu2
1.0
4.873 0.000 0.000
0.000 4.873 0.000
0.000 0.000 2.728
Au Li Tc
2 1 1
direct
0.000 0.000 0.000 Au
0.500 0.500 0.000 Au
0.500 0.000 0.500 Li
0.000 0.500 0.500 Tc
```